No. 1
Entry from Alexandria: a relaxed structure of Mg2TcTe (PBE).

Unit cell a=5.455 b=5.455 c=5.455 alpha=140.77 beta=132.54 gamma=63.21
Element x y z (fractional)
Tc (0.750, 0.250, 0.500)
Mg (0.510, 0.510, 0.000)
Mg (0.990, 0.990, 0.000)
Te (0.250, 0.750, 0.500)

Computed properties:
Calculated volume in Å³/atom: 18.68
ΔE_f (raw) in eV per atom: 0.153
Space group: No. 71

No. 2
Entry from Alexandria: a relaxed structure of MgTcTe2 (PBE).

Unit cell a=4.856 b=4.856 c=6.719 alpha=81.50 beta=81.50 gamma=40.91
Last column: magnetic moment on the atom in μB.
Element x y z (fractional)
Te (0.761, 0.761, 0.623)  0.00
Te (0.976, 0.976, 0.122)  0.01
Tc (0.255, 0.255, 0.288)  0.32
Mg (0.507, 0.507, 0.467)  0.00

Computed properties:
Calculated volume in Å³/atom: 25.61
ΔE_f (raw) in eV per atom: -0.007
Space group: No. 8

No. 3
Entry from Alexandria: a relaxed structure of Mg2TcTe (PBE).

Unit cell a=5.287 b=5.287 c=5.287 alpha=133.53 beta=133.53 gamma=67.82
Last column: magnetic moment on the atom in μB.
Element x y z (fractional)
Mg (0.250, 0.750, 0.500)  -0.01
Mg (0.000, 0.000, 0.000)  -0.01
Te (0.750, 0.250, 0.500)  0.00
Tc (0.500, 0.500, 0.000)  0.96

Computed properties:
Calculated volume in Å³/atom: 19.08
ΔE_f (raw) in eV per atom: 0.163
Space group: No. 119

No. 4
Entry from Alexandria: a relaxed structure of MgTc4Te (PBE).

Unit cell a=5.270 b=5.270 c=5.270 alpha=60.00 beta=60.00 gamma=60.00
Element x y z (fractional)
Mg (0.000, 0.000, 0.000)
Tc (0.874, 0.375, 0.375)
Tc (0.375, 0.874, 0.375)
Tc (0.375, 0.375, 0.375)
Tc (0.375, 0.375, 0.874)
Te (0.750, 0.750, 0.750)

Computed properties:
Calculated volume in Å³/atom: 17.25
ΔE_f (raw) in eV per atom: 0.400
Space group: No. 216

No. 5
Entry from Alexandria: a relaxed structure of Mg2TcTe (PBE).

Unit cell a=4.837 b=3.253 c=5.067 alpha=86.37 beta=90.00 gamma=90.00
Last column: magnetic moment on the atom in μB.
Element x y z (fractional)
Tc (0.500, 0.250, 0.250)  0.97
Te (0.500, 0.750, 0.750)  -0.01
Mg (0.000, 0.000, 0.021)  -0.01
Mg (0.000, 0.500, 0.479)  -0.01

Computed properties:
Calculated volume in Å³/atom: 19.89
ΔE_f (raw) in eV per atom: 0.328
Space group: No. 10

No. 6
Entry from Alexandria: a relaxed structure of Mg2TcTe (PBE).

Unit cell a=3.644 b=3.646 c=5.745 alpha=90.00 beta=90.00 gamma=90.00
Last column: magnetic moment on the atom in μB.
Element x y z (fractional)
Tc (0.500, 0.500, 0.250)  0.34
Te (0.500, 0.500, 0.750)  0.01
Mg (0.000, 0.000, 0.022)  0.00
Mg (0.000, 0.000, 0.478)  0.00

Computed properties:
Calculated volume in Å³/atom: 19.08
ΔE_f (raw) in eV per atom: 0.091
Space group: No. 123

No. 7
Entry from Alexandria: a relaxed structure of Mg3TcTe (PBE).

Unit cell a=5.090 b=5.090 c=5.090 alpha=90.00 beta=90.00 gamma=90.00
Last column: magnetic moment on the atom in μB.
Element x y z (fractional)
Tc (0.000, 0.000, 0.000)  1.04
Te (0.500, 0.500, 0.500)  0.09
Mg (0.000, 0.500, 0.000)  -0.02
Mg (0.500, 0.000, 0.000)  -0.02
Mg (0.000, 0.000, 0.500)  -0.01

Computed properties:
Calculated volume in Å³/atom: 26.37
ΔE_f (raw) in eV per atom: 0.652
Excess energy over the best structure of this formula in the dataset in meV per atom: 0
Space group: No. 221

No. 8
Entry from Alexandria: a relaxed structure of MgTcTe2 (PBE).

Unit cell a=6.393 b=6.393 c=7.502 alpha=64.78 beta=64.78 gamma=90.00
Element x y z (fractional)
Te (0.875, 0.907, 0.750)
Te (0.657, 0.125, 0.250)
Te (0.093, 0.625, 0.250)
Te (0.375, 0.343, 0.750)
Tc (0.750, 0.250, 0.500)
Tc (0.000, 0.000, 0.000)
Mg (0.250, 0.750, 0.500)
Mg (0.500, 0.500, 0.000)

Computed properties:
Calculated volume in Å³/atom: 30.59
ΔE_f (raw) in eV per atom: 0.090
Space group: No. 122